Entry 1:
This record from the Alexandria database describes Sm2PuTcN4 after structural relaxation. The functional is PBE.

Summary:
The calculation puts the uncorrected formation energy at -0.8803 eV per atom. Its density of states at the Fermi level is 0.97 states/eV per atom.

Unit cell a=3.4439 b=11.8046 c=11.9398 alpha=90.00 beta=90.00 gamma=90.00
Last column: nearest neighbours and their distance in Å.
Space group Cmcm (No. 63)
Unique sites:
Sm 0.0000 0.1318 0.0410 (multiplicity 8)  6 N 2.37-2.64
Pu 0.0000 0.3772 0.2500 (multiplicity 4)  6 N 2.53-2.75
Tc 0.0000 0.3572 0.7500 (multiplicity 4)  4 N 1.99-2.03
N 0.0000 0.0585 0.2500 (multiplicity 4)  2 Tc 1.99
N 0.0000 0.2297 0.6362 (multiplicity 8)  1 Tc 2.03
N 0.0000 0.5000 0.0000 (multiplicity 4)  4 Sm 2.37



Entry 2:
This record from the Alexandria database describes SrSbIr2 after structural relaxation. The functional is PBE.

Summary:
The calculation puts the uncorrected formation energy at 0.1831 eV per atom. Its density of states at the Fermi level is 0.64 states/eV per atom.

Unit cell a=6.4210 b=7.4252 c=3.3239 alpha=90.00 beta=90.00 gamma=90.00
Last column: nearest neighbours and their distance in Å.
Space group Cmmm (No. 65)
Unique sites:
Sr 0.0000 0.0000 0.0000 (multiplicity 2)  8 Ir 2.96, 2 Sb 3.21
Sb 0.0000 0.5000 0.0000 (multiplicity 2)  8 Ir 2.96, 2 Sr 3.21
Ir 0.2500 0.2500 0.5000 (multiplicity 4)  4 Sb 2.96, 4 Sr 2.96, 2 Ir 3.21



Entry 3:
This record from the Alexandria database describes Ac4Cd3In5 after structural relaxation. The functional is PBE.

Summary:
The value obtained for the formation energy is -215.2 meV/atom. Its density of states at the Fermi level is 0.71 states/eV per atom.

Unit cell a=16.9348 b=5.1328 c=11.5803 alpha=90.00 beta=125.51 gamma=90.00
Last column: nearest neighbours and their distance in Å.
Space group C2/m (No. 12)
Unique sites:
Ac 0.0166 0.0000 0.3147 (multiplicity 4)  1 Cd 3.49, 6 In 3.58-3.89
Ac 0.2360 0.5000 0.2354 (multiplicity 4)  4 In 3.28-3.44, 3 Cd 3.37-3.59
Cd 0.0000 0.0000 0.0000 (multiplicity 2)  2 In 2.57
Cd 0.2078 0.5000 0.9227 (multiplicity 4)  1 In 2.89, 2 Cd 2.98
In 0.0000 0.5000 0.0000 (multiplicity 2)  2 Cd 2.57
In 0.0982 0.5000 0.6167 (multiplicity 4)  2 In 2.82-2.85, 1 Cd 2.89
In 0.1992 0.5000 0.4878 (multiplicity 4)  3 In 2.85-3.01



Entry 4:
This record from the Alexandria database describes Rb2TlTe2 after structural relaxation. The functional is PBE.

Summary:
Its offset from the most stable computed form is 0.197 eV/atom. The calculation puts the uncorrected formation energy at -0.5322 eV per atom. Its density of states at the Fermi level is 0.30 states/eV per atom.

Unit cell a=10.6137 b=10.6137 c=3.5966 alpha=90.00 beta=90.00 gamma=90.00
Last column: nearest neighbours and their distance in Å.
Space group P4/mbm (No. 127)
Unique sites:
Rb 0.1239 0.3761 0.0000 (multiplicity 4)  6 Te 3.53-3.68, 3 Rb 3.60-3.72
Tl 0.0000 0.0000 0.0000 (multiplicity 2)  2 Tl 3.60
Te 0.1739 0.6739 0.5000 (multiplicity 4)  6 Rb 3.53-3.68, 2 Te 3.60



Entry 5:
This record from the Alexandria database describes Rb2TlGe2Cl7 after structural relaxation. The functional is PBE.

Summary:
The calculation puts the uncorrected formation energy at -1.2332 eV per atom. Its density of states at the Fermi level is 0.00 states/eV per atom.

Unit cell a=7.5809 b=7.5061 c=13.9741 alpha=90.00 beta=105.10 gamma=90.00
Last column: nearest neighbours and their distance in Å.
Space group C2/m (No. 12)
Unique sites:
Rb 0.1779 0.0000 0.3622 (multiplicity 4)  5 Cl 3.28-3.53
Tl 0.0000 0.0000 0.0000 (multiplicity 2)  12 Cl 3.73-3.79
Ge 0.1112 0.5000 0.2001 (multiplicity 4)  4 Cl 2.46-2.70
Cl 0.0000 0.5000 0.0000 (multiplicity 2)  2 Ge 2.70
Cl 0.1686 0.2380 0.8067 (multiplicity 8)  1 Ge 2.46
Cl 0.2044 0.5000 0.3946 (multiplicity 4)  1 Ge 2.62



Entry 6:
This record from the Alexandria database describes HfMoRu after structural relaxation. The functional is PBE.

Summary:
Its offset from the most stable computed form is 0.048 eV/atom. The value obtained for the formation energy is -319.1 meV/atom. Its density of states at the Fermi level is 0.63 states/eV per atom.

Unit cell a=5.1178 b=5.5005 c=7.3593 alpha=90.00 beta=90.00 gamma=90.00
Last column: nearest neighbours and their distance in Å.
Space group Imma (No. 74)
Unique sites:
Hf 0.0000 0.2500 0.1229 (multiplicity 4)  6 Mo 3.03-3.17, 6 Ru 3.04-3.10, 4 Hf 3.17-3.29
Mo 0.2500 0.2500 0.7500 (multiplicity 4)  2 Mo 2.56, 4 Ru 2.63
Ru 0.0000 0.0000 0.5000 (multiplicity 4)  4 Mo 2.63, 2 Ru 2.75



Entry 7:
This record from the Alexandria database describes Na2ThAg2Te4 after structural relaxation. The functional is PBE.

Summary:
The calculation puts the uncorrected formation energy at -0.7929 eV per atom.

Unit cell a=16.1657 b=4.4884 c=8.3018 alpha=90.00 beta=114.94 gamma=90.00
Last column: nearest neighbours and their distance in Å.
Space group C2/m (No. 12)
Unique sites:
Na 0.1355 0.0000 0.0740 (multiplicity 4)  5 Te 3.22-3.57, 1 Ag 3.54
Th 0.0000 0.0000 0.5000 (multiplicity 2)  6 Te 3.15
Ag 0.1846 0.5000 0.4946 (multiplicity 4)  4 Te 2.83-2.97, 2 Ag 3.06
Te 0.0017 0.5000 0.2349 (multiplicity 4)  1 Ag 2.83, 2 Th 3.15
Te 0.2127 0.0000 0.7290 (multiplicity 4)  3 Ag 2.88-2.97, 1 Th 3.15, 2 Na 3.22



Entry 8:
This record from the Alexandria database describes MnAlV6 after structural relaxation. The functional is PBE.

Summary:
Its offset from the most stable computed form is 0.237 eV/atom. The value obtained for the formation energy is 118.9 meV/atom. Its density of states at the Fermi level is 1.23 states/eV per atom.

Unit cell a=6.1112 b=8.9233 c=4.8982 alpha=90.00 beta=125.74 gamma=90.00
Last column: nearest neighbours and their distance in Å.
Space group C2/m (No. 12)
Unique sites:
Mn 0.0000 0.0000 0.0000 (multiplicity 2)  6 V 2.45-2.54, 2 Al 2.45
Al 0.0000 0.0000 0.5000 (multiplicity 2)  2 Mn 2.45, 6 V 2.61-2.64
V 0.0204 0.5000 0.7669 (multiplicity 4)  4 V 2.44-2.64, 1 Mn 2.45, 1 Al 2.64
V 0.2464 0.2463 0.2477 (multiplicity 8)  5 V 2.45-2.64, 1 Mn 2.54, 1 Al 2.61